First-principles (PBE) data for Li4Ga2Ag after structural relaxation, as listed in Alexandria.

Output
DOS at the Fermi energy = 0.2764 states/eV/atom
E_form = -174 meV per atom
offset from the most stable computed form = 0.0 meV/atom
density = 3.724 Mg/m³

```
14
Lattice="5.749 0.000 0.000 0.000 7.720 0.000 0.000 0.000 5.527" Properties=species:S:1:pos:R:3 pbc="T T T"
Li 1.433 1.918 0.000
Li 1.433 5.802 0.000
Li 1.441 1.942 2.763
Li 1.441 5.778 2.763
Li 4.308 1.942 2.763
Li 4.308 5.778 2.763
Li 4.315 1.918 0.000
Li 4.315 5.802 0.000
Ga 0.000 0.000 4.120
Ga 0.000 3.860 1.377
Ga 2.874 0.000 4.141
Ga 2.874 3.860 1.356
Ag 0.000 3.860 4.149
Ag 2.874 0.000 1.386
```